1.
The following is a SCAN calculation of a crystal of BH2RhAu relaxed with PBEsol, from Alexandria.

Cell lengths 3.589, 3.589, 4.160 Å; angles 90.00, 90.00, 90.00 degrees
Space group P4/mmm (No. 123)
Symmetry-distinct sites (fractional):
B1 0.000 0.000 0.000 x1
H1 0.000 0.500 0.000 x2
Rh1 0.500 0.500 0.500 x1
Au1 0.000 0.000 0.500 x1

=====

2.
The following is a SCAN calculation of a crystal of Be2CrAg relaxed with PBEsol, from Alexandria.

Cell lengths 2.821, 3.972, 8.236 Å; angles 90.00, 90.00, 90.00 degrees
Space group Imm2 (No. 44)
Symmetry-distinct sites (fractional):
Be1 0.000 0.000 0.000 x2
Be2 0.000 0.500 0.290 x2
Cr1 0.000 0.500 0.763 x2
Ag1 0.000 0.000 0.539 x2

Output
Its formation energy is 196 meV per atom. The energy relative to the lowest polymorph listed for this composition is 0.00 kcal/mol of atoms.

=====

What did we get for uncorrected energy? Answer: -22.34 -14.42 eV/atom, in the order shown.
What did we get for magnetization? Answer: 0.47 3.40 μB per formula unit, in the order shown.